[1]
! CaNd | the Alexandria database | PBE-GGA | relaxed; values from VASP
! Energy of formation from the pure elements = 0.0740 eV/atom
! Space-group type = P2_1/m, No. 11
! Final energy = -3.31 eV per atom
&SYSTEM
  ibrav = 0, nat = 4, ntyp = 2
/
ATOMIC_SPECIES
Nd 144.24 Nd.upf
Ca 40.08 Ca.upf
CELL_PARAMETERS angstrom
5.3717 0.0000 0.0000
0.0000 3.5914 0.9127
0.0000 1.7252 8.2893
ATOMIC_POSITIONS angstrom
Nd 4.0288 3.3538 5.6298
Ca 4.0288 0.6518 1.2002
Ca 1.3429 4.6648 8.0019
Nd 1.3429 1.9628 3.5723


[2]
! CaNd5 | the Alexandria database | PBE-GGA | relaxed; values from VASP
! Energy of formation from the pure elements = 0.0467 eV/atom
! Space-group type = Cmmm, No. 65
! Final energy = -4.26 eV per atom
&SYSTEM
  ibrav = 0, nat = 6, ntyp = 2
/
ATOMIC_SPECIES
Nd 144.24 Nd.upf
Ca 40.08 Ca.upf
CELL_PARAMETERS angstrom
5.2609 0.0000 0.0000
0.0000 5.2541 0.0000
0.0000 -2.6271 7.8211
ATOMIC_POSITIONS angstrom
Nd 2.6304 0.0000 2.6772
Nd 0.0000 0.0000 5.1569
Ca 0.0000 0.0000 0.0000
Nd 2.6304 2.6271 0.0000
Nd 2.6304 2.6271 5.1439
Nd 0.0000 2.6271 2.6643


Which ΔE to the lowest computed polymorph belongs to each record? In order, 0.07, 0.11 eV/f.u..